(1)
DFT (PBE) results for a geometry-optimized Li3Ag8Pb2 structure.

Cell: 5.4883 5.4883 31.2586 Å, 90.00 90.00 120.00°
Space group R-3m (No. 166, hexagonal axes)
Inequivalent atoms, fractional coordinates:
Li: 0.0000 0.0000 0.0000 (multiplicity 3)
Li: 0.0000 0.0000 0.1826 (multiplicity 6)
Ag: 0.0000 0.0000 0.2656 (multiplicity 6)
Ag: 0.0013 0.5007 0.7770 (multiplicity 18)
Pb: 0.0000 0.0000 0.3589 (multiplicity 6)

Computed properties:
E_tot: -2.7633 eV per atom
formation energy from the elements: 0.08 kcal/mol of atoms

---

(2)
DFT (PBE) results for a geometry-optimized NaLaTh structure.

Cell: 6.718 11.179 11.369 Å, 90.00 90.00 90.00°
Space group Fmmm (No. 69)
Inequivalent atoms, fractional coordinates:
Na: 0.000 0.000 0.132 (multiplicity 8)
La: 0.000 0.160 0.500 (multiplicity 8)
Th: 0.250 0.250 0.250 (multiplicity 8)

Computed properties:
E_tot: -4.0965 eV per atom
formation energy from the elements: 10.58 kcal/mol of atoms
relative energy among the computed polymorphs: 423 meV per atom

---

(3)
DFT (PBE) results for a geometry-optimized CdSBr2 structure.

Cell: 5.083 7.372 7.663 Å, 87.17 76.33 81.42°
Space group P-1 (No. 2)
Inequivalent atoms, fractional coordinates:
Cd: 0.038 0.148 0.300 (multiplicity 2)
S: 0.440 0.132 0.015 (multiplicity 2)
Br: 0.087 0.196 0.632 (multiplicity 2)
Br: 0.360 0.626 0.793 (multiplicity 2)

Computed properties:
E_tot: -2.5553 eV per atom
relative energy among the computed polymorphs: 83 meV per atom
uncorrected formation energy: -458 meV/atom

---

(4)
DFT (PBE) results for a geometry-optimized Cs3PbAu3 structure.

Cell: 4.794 13.611 16.802 Å, 90.00 90.00 90.00°
Space group Cmcm (No. 63)
Inequivalent atoms, fractional coordinates:
Cs: 0.000 0.014 0.250 (multiplicity 4)
Cs: 0.000 0.276 0.606 (multiplicity 8)
Pb: 0.000 0.000 0.000 (multiplicity 4)
Au: 0.000 0.323 0.250 (multiplicity 4)
Au: 0.000 0.434 0.092 (multiplicity 8)

Computed properties:
E_tot: -2.5497 eV per atom
formation energy from the elements: -5.75 kcal/mol of atoms
relative energy among the computed polymorphs: 0 meV per atom

---

(5)
DFT (PBE) results for a geometry-optimized ZrSbAs2 structure.

Cell: 6.020 8.085 4.034 Å, 90.00 113.19 90.00°
Space group C2/m (No. 12)
Inequivalent atoms, fractional coordinates:
Zr: 0.000 0.000 0.000 (multiplicity 2)
Sb: 0.000 0.500 0.000 (multiplicity 2)
As: 0.250 0.250 0.500 (multiplicity 4)

Computed properties:
E_tot: -5.6491 eV per atom
uncorrected formation energy: -157 meV/atom

---

(6)
DFT (PBE) results for a geometry-optimized ScCo2H structure.

Cell: 5.716 5.716 5.716 Å, 90.00 90.00 90.00°
Space group Fm-3m (No. 225)
Inequivalent atoms, fractional coordinates:
Sc: 0.000 0.000 0.000 (multiplicity 4)
Co: 0.250 0.250 0.250 (multiplicity 8)
H: 0.000 0.000 0.500 (multiplicity 4)

Computed properties:
E_tot: -5.3901 eV per atom
relative energy among the computed polymorphs: 772 meV per atom

---

no.,theoretical density (Mg/m³)
1,7.93
2,6.13
3,3.66
4,7.25
5,6.68
6,5.83